# Sm2Er2CBr3Cl2 PBE relaxed
data_Sm2Er2CBr3Cl2
_chemical_formula_sum 'Sm2 Er2 C1 Br3 Cl2'
_space_group_name_H-M_alt 'P 1'
_space_group_IT_number 1
_cell_length_a 9.0546
_cell_length_b 9.0546
_cell_length_c 8.0265
_cell_angle_alpha 103.68
_cell_angle_beta 103.68
_cell_angle_gamma 24.10
loop_
_space_group_symop_operation_xyz
'x,y,z'
loop_
_atom_site_label
_atom_site_fract_x
_atom_site_fract_y
_atom_site_fract_z
Sm1 0.1434 0.1434 0.0822
Sm2 0.8566 0.8566 0.9178
Er1 0.5000 0.5000 0.2013
Er2 0.5000 0.5000 0.7987
C1 0.0000 0.0000 0.0000
Br1 0.0000 0.0000 0.5000
Br2 0.3323 0.3323 0.1827
Br3 0.6677 0.6677 0.8173
Cl1 0.3441 0.3441 0.6580
Cl2 0.6559 0.6559 0.3420
# - V: 260.8 Å³/f.u.
# - SG: C2/m, No. 12
# - DFT total energy: -5.182 eV/atom

=====

# NaB2IrO6 PBE relaxed
data_NaB2IrO6
_chemical_formula_sum 'Na2 B4 Ir2 O12'
_space_group_name_H-M_alt 'P 1'
_space_group_IT_number 1
_cell_length_a 4.6693
_cell_length_b 5.6210
_cell_length_c 8.9749
_cell_angle_alpha 90.00
_cell_angle_beta 121.05
_cell_angle_gamma 90.00
loop_
_space_group_symop_operation_xyz
'x,y,z'
loop_
_atom_site_label
_atom_site_fract_x
_atom_site_fract_y
_atom_site_fract_z
Na1 0.0000 0.0000 0.0000
Na2 0.0000 0.5000 0.5000
B1 0.2212 0.1250 0.7393
B2 0.2212 0.3750 0.2393
B3 0.7788 0.6250 0.7607
B4 0.7788 0.8750 0.2607
Ir1 0.5000 0.0000 0.5000
Ir2 0.5000 0.5000 0.0000
O1 0.0754 0.5669 0.7757
O2 0.0754 0.9331 0.2757
O3 0.2506 0.1382 0.5944
O4 0.2506 0.3618 0.0944
O5 0.4988 0.1884 0.8966
O6 0.4988 0.3116 0.3966
O7 0.5012 0.6884 0.6034
O8 0.5012 0.8116 0.1034
O9 0.7494 0.6382 0.9056
O10 0.7494 0.8618 0.4056
O11 0.9246 0.0669 0.7243
O12 0.9246 0.4331 0.2243
# - V: 100.9 Å³/f.u.
# - SG: P2_1/c, No. 14
# - DFT total energy: -6.961 eV/atom

=====

# PrAgAsO PBE relaxed
data_PrAgAsO
_chemical_formula_sum 'Pr2 Ag2 As2 O2'
_space_group_name_H-M_alt 'P 1'
_space_group_IT_number 1
_cell_length_a 3.8893
_cell_length_b 7.9650
_cell_length_c 6.1547
_cell_angle_alpha 90.00
_cell_angle_beta 90.00
_cell_angle_gamma 90.00
loop_
_space_group_symop_operation_xyz
'x,y,z'
loop_
_atom_site_label
_atom_site_fract_x
_atom_site_fract_y
_atom_site_fract_z
Pr1 0.0000 0.2255 0.0000
Pr2 0.0000 0.7745 0.5000
Ag1 0.5000 0.3606 0.5027
Ag2 0.5000 0.6394 0.0027
As1 0.0000 0.1548 0.4998
As2 0.0000 0.8452 0.9998
O1 0.5000 0.3591 0.9975
O2 0.5000 0.6409 0.4975
# - V: 95.3 Å³/f.u.
# - SG: Pmc2_1, No. 26
# - DFT total energy: -5.497 eV/atom

=====

# Cd2Si2O5 PBE relaxed
data_Cd2Si2O5
_chemical_formula_sum 'Cd2 Si2 O5'
_space_group_name_H-M_alt 'P 1'
_space_group_IT_number 1
_cell_length_a 3.3312
_cell_length_b 3.3312
_cell_length_c 9.6846
_cell_angle_alpha 90.00
_cell_angle_beta 90.00
_cell_angle_gamma 90.00
loop_
_space_group_symop_operation_xyz
'x,y,z'
loop_
_atom_site_label
_atom_site_fract_x
_atom_site_fract_y
_atom_site_fract_z
Cd1 0.0000 0.0000 0.2339
Cd2 0.0000 0.0000 0.7661
Si1 0.5000 0.5000 0.0000
Si2 0.5000 0.5000 0.5000
O1 0.0000 0.0000 0.0000
O2 0.0000 0.5000 0.3872
O3 0.0000 0.5000 0.6128
O4 0.5000 0.0000 0.3872
O5 0.5000 0.0000 0.6128
# - V: 107.5 Å³/f.u.
# - SG: P4/mmm, No. 123
# - DFT total energy: -4.700 eV/atom

=====

# NaPrBe PBE relaxed
data_NaPrBe
_chemical_formula_sum 'Na4 Pr4 Be4'
_space_group_name_H-M_alt 'P 1'
_space_group_IT_number 1
_cell_length_a 6.9610
_cell_length_b 6.9610
_cell_length_c 6.9610
_cell_angle_alpha 90.00
_cell_angle_beta 90.00
_cell_angle_gamma 90.00
loop_
_space_group_symop_operation_xyz
'x,y,z'
loop_
_atom_site_label
_atom_site_fract_x
_atom_site_fract_y
_atom_site_fract_z
Na1 0.0000 0.0000 0.0000
Na2 0.0000 0.5000 0.5000
Na3 0.5000 0.0000 0.5000
Na4 0.5000 0.5000 0.0000
Pr1 0.2500 0.2500 0.7500
Pr2 0.2500 0.7500 0.2500
Pr3 0.7500 0.2500 0.2500
Pr4 0.7500 0.7500 0.7500
Be1 0.0000 0.0000 0.5000
Be2 0.0000 0.5000 0.0000
Be3 0.5000 0.0000 0.0000
Be4 0.5000 0.5000 0.5000
# - V: 84.3 Å³/f.u.
# - SG: F-43m, No. 216
# - DFT total energy: -2.300 eV/atom

=====

# Cu2Ag PBE relaxed
data_Cu2Ag
_chemical_formula_sum 'Cu6 Ag3'
_space_group_name_H-M_alt 'P 1'
_space_group_IT_number 1
_cell_length_a 5.6244
_cell_length_b 5.6244
_cell_length_c 8.5306
_cell_angle_alpha 104.48
_cell_angle_beta 104.48
_cell_angle_gamma 28.67
loop_
_space_group_symop_operation_xyz
'x,y,z'
loop_
_atom_site_label
_atom_site_fract_x
_atom_site_fract_y
_atom_site_fract_z
Cu1 0.0000 0.0000 0.0000
Cu2 0.0054 0.0054 0.6924
Cu3 0.0100 0.0100 0.4068
Cu4 0.3392 0.3392 0.4878
Cu5 0.3479 0.3479 0.7911
Cu6 0.6788 0.6788 0.5935
Ag1 0.3633 0.3633 0.1632
Ag2 0.6578 0.6578 0.2555
Ag3 0.6819 0.6819 0.9133
# - V: 41.7 Å³/f.u.
# - Formation energy: 0.072 eV per atom
# - SG: Cm, No. 8
# - DFT total energy: -3.347 eV/atom

=====

# SrCdW2 PBE relaxed
data_SrCdW2
_chemical_formula_sum 'Sr4 Cd4 W8'
_space_group_name_H-M_alt 'P 1'
_space_group_IT_number 1
_cell_length_a 6.8664
_cell_length_b 6.8664
_cell_length_c 6.8664
_cell_angle_alpha 90.00
_cell_angle_beta 90.00
_cell_angle_gamma 90.00
loop_
_space_group_symop_operation_xyz
'x,y,z'
loop_
_atom_site_label
_atom_site_fract_x
_atom_site_fract_y
_atom_site_fract_z
Sr1 0.0000 0.0000 0.0000
Sr2 0.0000 0.5000 0.5000
Sr3 0.5000 0.0000 0.5000
Sr4 0.5000 0.5000 0.0000
Cd1 0.2500 0.2500 0.2500
Cd2 0.2500 0.7500 0.7500
Cd3 0.7500 0.2500 0.7500
Cd4 0.7500 0.7500 0.2500
W1 0.0000 0.0000 0.5000
W2 0.0000 0.5000 0.0000
W3 0.2500 0.2500 0.7500
W4 0.2500 0.7500 0.2500
W5 0.5000 0.0000 0.0000
W6 0.5000 0.5000 0.5000
W7 0.7500 0.2500 0.2500
W8 0.7500 0.7500 0.7500
# - V: 80.9 Å³/f.u.
# - SG: F-43m, No. 216
# - DFT total energy: -6.069 eV/atom

=====

# KSmO2 PBE relaxed
data_KSmO2
_chemical_formula_sum 'K3 Sm3 O6'
_space_group_name_H-M_alt 'P 1'
_space_group_IT_number 1
_cell_length_a 3.5675
_cell_length_b 3.5675
_cell_length_c 18.5673
_cell_angle_alpha 90.00
_cell_angle_beta 90.00
_cell_angle_gamma 120.00
loop_
_space_group_symop_operation_xyz
'x,y,z'
loop_
_atom_site_label
_atom_site_fract_x
_atom_site_fract_y
_atom_site_fract_z
K1 0.0000 0.0000 0.0000
K2 0.3333 0.6667 0.6667
K3 0.6667 0.3333 0.3333
Sm1 0.0000 0.0000 0.5000
Sm2 0.3333 0.6667 0.1667
Sm3 0.6667 0.3333 0.8333
O1 0.0000 0.0000 0.2305
O2 0.0000 0.0000 0.7695
O3 0.3333 0.6667 0.4362
O4 0.3333 0.6667 0.8972
O5 0.6667 0.3333 0.1028
O6 0.6667 0.3333 0.5638
# - V: 68.2 Å³/f.u.
# - SG: R-3m, No. 166
# - DFT total energy: -6.596 eV/atom

=====

# ScNbAlCu PBE relaxed
data_ScNbAlCu
_chemical_formula_sum 'Sc4 Nb4 Al4 Cu4'
_space_group_name_H-M_alt 'P 1'
_space_group_IT_number 1
_cell_length_a 6.4965
_cell_length_b 6.4965
_cell_length_c 6.4965
_cell_angle_alpha 90.00
_cell_angle_beta 90.00
_cell_angle_gamma 90.00
loop_
_space_group_symop_operation_xyz
'x,y,z'
loop_
_atom_site_label
_atom_site_fract_x
_atom_site_fract_y
_atom_site_fract_z
Sc1 0.0000 0.0000 0.0000
Sc2 0.0000 0.5000 0.5000
Sc3 0.5000 0.0000 0.5000
Sc4 0.5000 0.5000 0.0000
Nb1 0.2500 0.2500 0.2500
Nb2 0.2500 0.7500 0.7500
Nb3 0.7500 0.2500 0.7500
Nb4 0.7500 0.7500 0.2500
Al1 0.0000 0.0000 0.5000
Al2 0.0000 0.5000 0.0000
Al3 0.5000 0.0000 0.0000
Al4 0.5000 0.5000 0.5000
Cu1 0.2500 0.2500 0.7500
Cu2 0.2500 0.7500 0.2500
Cu3 0.7500 0.2500 0.2500
Cu4 0.7500 0.7500 0.7500
# - V: 68.5 Å³/f.u.
# - SG: F-43m, No. 216
# - DFT total energy: -5.866 eV/atom

=====

# CdFeCuBi PBE relaxed
data_CdFeCuBi
_chemical_formula_sum 'Cd4 Fe4 Cu4 Bi4'
_space_group_name_H-M_alt 'P 1'
_space_group_IT_number 1
_cell_length_a 6.6699
_cell_length_b 6.6699
_cell_length_c 6.6699
_cell_angle_alpha 90.00
_cell_angle_beta 90.00
_cell_angle_gamma 90.00
loop_
_space_group_symop_operation_xyz
'x,y,z'
loop_
_atom_site_label
_atom_site_fract_x
_atom_site_fract_y
_atom_site_fract_z
Cd1 0.0000 0.0000 0.0000
Cd2 0.0000 0.5000 0.5000
Cd3 0.5000 0.0000 0.5000
Cd4 0.5000 0.5000 0.0000
Fe1 0.2500 0.2500 0.2500
Fe2 0.2500 0.7500 0.7500
Fe3 0.7500 0.2500 0.7500
Fe4 0.7500 0.7500 0.2500
Cu1 0.2500 0.2500 0.7500
Cu2 0.2500 0.7500 0.2500
Cu3 0.7500 0.2500 0.2500
Cu4 0.7500 0.7500 0.7500
Bi1 0.0000 0.0000 0.5000
Bi2 0.0000 0.5000 0.0000
Bi3 0.5000 0.0000 0.0000
Bi4 0.5000 0.5000 0.5000
# - V: 74.2 Å³/f.u.
# - SG: F-43m, No. 216
# - DFT total energy: -3.794 eV/atom

=====

# Mg5Ag PBE relaxed
data_Mg5Ag
_chemical_formula_sum 'Mg5 Ag1'
_space_group_name_H-M_alt 'P 1'
_space_group_IT_number 1
_cell_length_a 5.3817
_cell_length_b 5.3817
_cell_length_c 4.9641
_cell_angle_alpha 90.00
_cell_angle_beta 90.00
_cell_angle_gamma 120.00
loop_
_space_group_symop_operation_xyz
'x,y,z'
loop_
_atom_site_label
_atom_site_fract_x
_atom_site_fract_y
_atom_site_fract_z
Mg1 0.0000 0.3228 0.0000
Mg2 0.3228 0.0000 0.0000
Mg3 0.3333 0.6667 0.5000
Mg4 0.6667 0.3333 0.5000
Mg5 0.6772 0.6772 0.0000
Ag1 0.0000 0.0000 0.5000
# - V: 124.5 Å³/f.u.
# - SG: P-62m, No. 189
# - DFT total energy: -1.835 eV/atom

=====

# TaNb2B PBE relaxed
data_TaNb2B
_chemical_formula_sum 'Ta4 Nb8 B4'
_space_group_name_H-M_alt 'P 1'
_space_group_IT_number 1
_cell_length_a 6.2743
_cell_length_b 6.2743
_cell_length_c 6.2743
_cell_angle_alpha 90.00
_cell_angle_beta 90.00
_cell_angle_gamma 90.00
loop_
_space_group_symop_operation_xyz
'x,y,z'
loop_
_atom_site_label
_atom_site_fract_x
_atom_site_fract_y
_atom_site_fract_z
Ta1 0.0000 0.0000 0.0000
Ta2 0.0000 0.5000 0.5000
Ta3 0.5000 0.0000 0.5000
Ta4 0.5000 0.5000 0.0000
Nb1 0.0000 0.0000 0.5000
Nb2 0.0000 0.5000 0.0000
Nb3 0.2500 0.2500 0.2500
Nb4 0.2500 0.7500 0.7500
Nb5 0.5000 0.0000 0.0000
Nb6 0.5000 0.5000 0.5000
Nb7 0.7500 0.2500 0.7500
Nb8 0.7500 0.7500 0.2500
B1 0.2500 0.2500 0.7500
B2 0.2500 0.7500 0.2500
B3 0.7500 0.2500 0.2500
B4 0.7500 0.7500 0.7500
# - V: 61.7 Å³/f.u.
# - SG: F-43m, No. 216
# - DFT total energy: -9.248 eV/atom